This record from the Alexandria database describes a geometry-optimized PuInHgI6 structure. The functional is PBE-GGA.

Cell lengths 7.771, 7.771, 9.078 Å; angles 90.00, 90.00, 120.00 degrees
Sites, in units of the cell vectors:
Pu  0.000  0.000  0.000
In  0.667  0.333  0.000
Hg  0.333  0.667  0.500
I  0.346  0.031  0.809
I  0.346  0.314  0.191
I  0.686  0.031  0.191
I  0.686  0.654  0.809
I  0.969  0.314  0.809
I  0.969  0.654  0.191

## Properties
- Total energy: -3.621 eV/atom
- Fermi-level density of states: 1.33 states/eV per atom
- Space-group type: P312

---

This record from the Alexandria database describes a geometry-optimized PmY3 structure. The functional is PBE-GGA.

Cell lengths 7.308, 7.308, 5.735 Å; angles 90.00, 90.00, 120.00 degrees
Sites, in units of the cell vectors:
Pm  0.333  0.667  0.250
Pm  0.667  0.333  0.750
Y  0.166  0.333  0.750
Y  0.166  0.834  0.750
Y  0.333  0.166  0.250
Y  0.667  0.834  0.750
Y  0.834  0.166  0.250
Y  0.834  0.667  0.250

## Properties
- Total energy: -6.028 eV/atom
- Fermi-level density of states: 2.03 states/eV per atom
- Space-group type: P6_3/mmc

---

This record from the Alexandria database describes a geometry-optimized CsMgAlF6 structure. The functional is PBE-GGA.

Cell lengths 7.215, 7.215, 7.215 Å; angles 120.64, 119.31, 90.05 degrees
Sites, in units of the cell vectors:
Cs  0.375  0.125  0.250
Cs  0.625  0.875  0.750
Mg  0.000  0.500  0.500
Mg  0.500  0.500  0.000
Al  0.000  0.000  0.500
Al  0.000  0.500  0.000
F  0.052  0.802  0.250
F  0.056  0.426  0.224
F  0.056  0.832  0.630
F  0.298  0.168  0.724
F  0.298  0.574  0.130
F  0.327  0.577  0.750
F  0.673  0.423  0.250
F  0.702  0.426  0.870
F  0.702  0.832  0.276
F  0.944  0.168  0.370
F  0.944  0.574  0.776
F  0.948  0.198  0.750

## Properties
- Total energy: -5.400 eV/atom
- Fermi-level density of states: 0.00 states/eV per atom
- Space-group type: Imma

---

This record from the Alexandria database describes a geometry-optimized SrLiSnAu structure. The functional is PBE-GGA.

Cell lengths 5.072, 5.072, 5.072 Å; angles 60.00, 60.00, 60.00 degrees
Sites, in units of the cell vectors:
Sr  0.000  0.000  0.000
Li  0.750  0.750  0.750
Sn  0.500  0.500  0.500
Au  0.250  0.250  0.250

## Properties
- Total energy: -3.263 eV/atom
- Fermi-level density of states: 0.28 states/eV per atom
- Space-group type: F-43m

---

This record from the Alexandria database describes a geometry-optimized ZrSc structure. The functional is PBE-GGA.

Cell lengths 6.088, 6.088, 5.066 Å; angles 90.00, 90.00, 149.66 degrees
Sites, in units of the cell vectors:
Zr  0.055  0.945  0.750
Zr  0.945  0.055  0.250
Sc  0.322  0.678  0.750
Sc  0.678  0.322  0.250

## Properties
- Total energy: -7.456 eV/atom
- Fermi-level density of states: 1.10 states/eV per atom
- Space-group type: Cmcm

---

This record from the Alexandria database describes a geometry-optimized La2HfTe5 structure. The functional is PBE-GGA.

Cell lengths 8.259, 8.259, 14.568 Å; angles 90.00, 90.00, 136.81 degrees
Sites, in units of the cell vectors:
La  0.150  0.850  0.565
La  0.150  0.850  0.935
La  0.850  0.150  0.065
La  0.850  0.150  0.435
Hf  0.185  0.815  0.250
Hf  0.815  0.185  0.750
Te  0.048  0.952  0.123
Te  0.048  0.952  0.377
Te  0.279  0.721  0.750
Te  0.305  0.695  0.093
Te  0.305  0.695  0.407
Te  0.695  0.305  0.593
Te  0.695  0.305  0.907
Te  0.721  0.279  0.250
Te  0.952  0.048  0.623
Te  0.952  0.048  0.877

## Properties
- Total energy: -5.586 eV/atom
- Space-group type: Cmcm

---

This record from the Alexandria database describes a geometry-optimized Ca2Sn6Rh structure. The functional is PBE-GGA.

Cell lengths 9.499, 9.499, 3.859 Å; angles 90.00, 90.00, 135.41 degrees
Sites, in units of the cell vectors:
Ca  0.219  0.781  0.000
Ca  0.781  0.219  0.000
Sn  0.164  0.439  0.500
Sn  0.222  0.222  0.000
Sn  0.439  0.164  0.500
Sn  0.561  0.836  0.500
Sn  0.778  0.778  0.000
Sn  0.836  0.561  0.500
Rh  0.500  0.500  0.500

## Properties
- Total energy: -4.296 eV/atom
- Fermi-level density of states: 0.27 states/eV per atom
- Space-group type: Cmmm

---

This record from the Alexandria database describes a geometry-optimized YHoAlIr structure. The functional is PBE-GGA.

Cell lengths 4.965, 4.965, 4.965 Å; angles 60.00, 60.00, 60.00 degrees
Sites, in units of the cell vectors:
Y  0.000  0.000  0.000
Ho  0.500  0.500  0.500
Al  0.750  0.750  0.750
Ir  0.250  0.250  0.250

## Properties
- Total energy: -6.486 eV/atom
- Fermi-level density of states: 0.77 states/eV per atom
- Space-group type: F-43m